Below is a geometry-optimized ThCd4Hg2 structure, with properties calculated at the PBE level.

Cell lengths 10.0559, 10.0559, 3.3648 Å; angles 90.00, 90.00, 150.37 degrees
Element x y z (fractional)
Th 0.0000 0.0000 0.0000
Cd 0.1568 0.8432 0.5000
Cd 0.2906 0.7094 0.0000
Cd 0.7094 0.2906 0.0000
Cd 0.8432 0.1568 0.5000
Hg 0.4231 0.5769 0.5000
Hg 0.5769 0.4231 0.5000

D(E_F) (states/eV/atom): 0.37
Excess energy over the best structure of this formula in the dataset (eV/atom): 0.000
Formation energy (eV per atom): -0.089